# LiAl2Cr

A PBEsol-optimized structure of LiAl2Cr (SCAN, Alexandria).

Cell and atoms, written as POSCAR:
```
LiAl2Cr
1.0
2.620 0.000 0.000
0.000 2.620 0.000
0.000 0.000 8.388
Li Al Cr
1 2 1
direct
0.000 0.000 0.000
0.000 0.000 0.476
0.500 0.500 0.735
0.500 0.500 0.258
```

Values from the calculation:
Formation energy from the elements   0.2106 eV/atom

=====

# Li2AlCr

A PBEsol-optimized structure of Li2AlCr (SCAN, Alexandria).

Cell and atoms, written as POSCAR:
```
Li2AlCr
1.0
1.302 0.752 9.412
-1.302 0.752 9.412
0.000 -1.503 9.412
Li Al Cr
2 1 1
direct
0.248 0.248 0.248
0.752 0.752 0.752
0.000 0.000 0.000
0.500 0.500 0.500
```

Values from the calculation:
Formation energy from the elements   0.3218 eV/atom

=====

> The lowest formation energy from the elements belongs to which entry?

LiAl2Cr

=====

> Look up the formation energy from the elements of the first one.

0.2106 eV/atom

=====

> What is the formation energy from the elements in the first record?

0.2106 eV/atom

=====

> formation energy from the elements of number 1 (LiAl2Cr)?

0.2106 eV/atom